The following is a PBE calculation of a geometry-optimized BaCe2ReO8 structure, from the Alexandria database.

Unit cell a=5.191 b=5.181 c=7.238 alpha=89.93 beta=89.93 gamma=87.62
Site moments in Bohr magnetons follow the coordinates.
Sites, in units of the cell vectors:
1 Ba 0.000 0.000 0.500  0.00
2 Ce 0.500 0.500 0.751  0.36
3 Ce 0.500 0.500 0.249  0.36
4 Re 0.000 0.000 0.000  0.39
5 O 0.187 0.808 0.187  0.00
6 O 0.739 0.743 0.000  -0.01
7 O 0.813 0.192 0.187  0.00
8 O 0.813 0.192 0.813  0.00
9 O 0.261 0.257 0.000  -0.01
10 O 0.187 0.808 0.813  0.00
11 O 0.657 0.672 0.500  -0.02
12 O 0.343 0.328 0.500  -0.02

Results
Formation energy (no corrections) = -2588 meV per atom
Magnetization = 1.161 μB/cell
Density of states at the Fermi level = 0.6062 states/eV/atom
V = 16.21 A^3/atom
ρ = 6.25 g/cm³
Space-group type = P-1, No. 2

The following is a PBE calculation of a geometry-optimized BaCeRe2O8 structure, from the Alexandria database.

Unit cell a=6.008 b=6.008 c=7.705 alpha=90.00 beta=90.00 gamma=120.00
Site moments in Bohr magnetons follow the coordinates.
Sites, in units of the cell vectors:
1 Ba 0.000 0.000 0.000  0.01
2 Ce 0.000 0.000 0.500  0.93
3 Re 0.667 0.333 0.217  1.04
4 Re 0.333 0.667 0.783  1.04
5 O 0.333 0.667 0.016  0.11
6 O 0.332 0.165 0.297  0.06
7 O 0.835 0.167 0.297  0.06
8 O 0.667 0.333 0.984  0.11
9 O 0.165 0.833 0.703  0.06
10 O 0.668 0.835 0.703  0.06
11 O 0.167 0.332 0.703  0.06
12 O 0.833 0.668 0.297  0.06

Results
Formation energy (no corrections) = -2072 meV per atom
Magnetization = 4.047 μB/cell
Density of states at the Fermi level = 0.3355 states/eV/atom
V = 20.07 A^3/atom
ρ = 5.36 g/cm³
Space-group type = P-3, No. 147

The following is a PBE calculation of a geometry-optimized Ba2CeRe3O12 structure, from the Alexandria database.

Unit cell a=7.181 b=7.181 c=7.181 alpha=62.15 beta=62.15 gamma=62.15
Site moments in Bohr magnetons follow the coordinates.
Sites, in units of the cell vectors:
1 Ba 0.628 0.628 0.628  0.01
2 Ba 0.372 0.372 0.372  0.01
3 Ce 0.000 0.000 0.000  0.26
4 Re 0.500 0.000 0.000  0.40
5 Re 0.000 0.500 0.000  0.40
6 Re 0.000 0.000 0.500  0.40
7 O 0.290 0.290 0.915  0.01
8 O 0.886 0.886 0.390  0.02
9 O 0.390 0.886 0.886  0.02
10 O 0.915 0.290 0.290  0.01
11 O 0.886 0.390 0.886  0.02
12 O 0.290 0.915 0.290  0.01
13 O 0.710 0.710 0.085  0.01
14 O 0.114 0.114 0.610  0.02
15 O 0.610 0.114 0.114  0.02
16 O 0.085 0.710 0.710  0.01
17 O 0.114 0.610 0.114  0.02
18 O 0.710 0.085 0.710  0.01

Results
Formation energy (no corrections) = -2124 meV per atom
Magnetization = 1.855 μB/cell
Density of states at the Fermi level = 0.6756 states/eV/atom
V = 15.24 A^3/atom
ρ = 7.05 g/cm³
Space-group type = R-3m, No. 166

The following is a PBE calculation of a geometry-optimized Ba3CeRh2O8 structure, from the Alexandria database.

Unit cell a=5.972 b=5.972 c=8.022 alpha=90.00 beta=90.00 gamma=120.00
Site moments in Bohr magnetons follow the coordinates.
Sites, in units of the cell vectors:
1 Ba 0.333 0.667 0.639  0.02
2 Ba 0.667 0.333 0.361  0.02
3 Ba 0.000 0.000 0.000  0.01
4 Ce 0.000 0.000 0.500  0.25
5 Rh 0.333 0.667 0.187  1.09
6 Rh 0.667 0.333 0.813  1.09
7 O 0.333 0.667 0.954  0.18
8 O 0.667 0.333 0.046  0.18
9 O 0.172 0.828 0.334  0.09
10 O 0.828 0.172 0.666  0.09
11 O 0.172 0.345 0.334  0.09
12 O 0.828 0.655 0.666  0.09
13 O 0.655 0.828 0.334  0.09
14 O 0.345 0.172 0.666  0.09

Results
Formation energy (no corrections) = -1869 meV per atom
Magnetization = 3.910 μB/cell
Density of states at the Fermi level = 0.4741 states/eV/atom
V = 17.70 A^3/atom
ρ = 5.94 g/cm³
Space-group type = P-3m1, No. 164

The following is a PBE calculation of a geometry-optimized Ba3CeRh2O9 structure, from the Alexandria database.

Unit cell a=5.904 b=5.904 c=7.301 alpha=90.00 beta=90.00 gamma=120.00
Site moments in Bohr magnetons follow the coordinates.
Sites, in units of the cell vectors:
1 Ba 0.333 0.667 0.687  0.01
2 Ba 0.000 0.000 0.000  0.01
3 Ba 0.667 0.333 0.313  0.01
4 Ce 0.000 0.000 0.500  -0.02
5 Rh 0.333 0.667 0.159  0.61
6 Rh 0.667 0.333 0.841  0.61
7 O 0.825 0.175 0.679  0.04
8 O 0.825 0.649 0.679  0.04
9 O 0.351 0.175 0.679  0.04
10 O 0.649 0.825 0.321  0.04
11 O 0.175 0.351 0.321  0.04
12 O 0.175 0.825 0.321  0.04
13 O 0.500 0.000 0.000  0.16
14 O 0.000 0.500 0.000  0.16
15 O 0.500 0.500 0.000  0.16

Results
Formation energy (no corrections) = -2106 meV per atom
Magnetization = 2.093 μB/cell
Density of states at the Fermi level = 0.4819 states/eV/atom
V = 14.69 A^3/atom
ρ = 6.80 g/cm³
Space-group type = P-3m1, No. 164

The following is a PBE calculation of a geometry-optimized BaCeRu2O8 structure, from the Alexandria database.

Unit cell a=5.911 b=5.911 c=7.688 alpha=90.00 beta=90.00 gamma=120.00
Site moments in Bohr magnetons follow the coordinates.
Sites, in units of the cell vectors:
1 Ba 0.000 0.000 0.000  0.00
2 Ce 0.000 0.000 0.500  -0.06
3 Ru 0.667 0.333 0.219  0.60
4 Ru 0.333 0.667 0.781  0.60
5 O 0.333 0.667 0.012  0.11
6 O 0.329 0.167 0.302  0.08
7 O 0.833 0.161 0.302  0.08
8 O 0.667 0.333 0.988  0.11
9 O 0.167 0.839 0.698  0.08
10 O 0.671 0.833 0.698  0.08
11 O 0.161 0.329 0.698  0.08
12 O 0.839 0.671 0.302  0.08

Results
Formation energy (no corrections) = -1692 meV per atom
Magnetization = 2.074 μB/cell
Density of states at the Fermi level = 0.7923 states/eV/atom
V = 19.39 A^3/atom
ρ = 4.34 g/cm³
Space-group type = P-3, No. 147

The following is a PBE calculation of a geometry-optimized Ba3CeRu2O9 structure, from the Alexandria database.

Unit cell a=5.966 b=5.966 c=14.810 alpha=90.00 beta=90.00 gamma=120.00
Site moments in Bohr magnetons follow the coordinates.
Sites, in units of the cell vectors:
1 Ba 0.333 0.667 0.598  0.00
2 Ba 0.000 0.000 0.250  0.01
3 Ba 0.667 0.333 0.402  0.00
4 Ba 0.667 0.333 0.098  0.00
5 Ba 0.333 0.667 0.902  0.00
6 Ba 0.000 0.000 0.750  0.01
7 Ce 0.000 0.000 0.500  -0.01
8 Ce 0.000 0.000 0.000  -0.01
9 Ru 0.333 0.667 0.334  0.63
10 Ru 0.667 0.333 0.834  0.63
11 Ru 0.667 0.333 0.666  0.63
12 Ru 0.333 0.667 0.166  0.63
13 O 0.175 0.825 0.088  0.04
14 O 0.175 0.350 0.088  0.04
15 O 0.650 0.825 0.088  0.04
16 O 0.350 0.175 0.588  0.04
17 O 0.825 0.650 0.912  0.04
18 O 0.825 0.175 0.588  0.04
19 O 0.825 0.650 0.588  0.04
20 O 0.175 0.825 0.412  0.04
21 O 0.650 0.825 0.412  0.04
22 O 0.350 0.175 0.912  0.04
23 O 0.825 0.175 0.912  0.04
24 O 0.175 0.350 0.412  0.04
25 O 0.490 0.980 0.250  0.09
26 O 0.510 0.490 0.750  0.09
27 O 0.980 0.490 0.750  0.09
28 O 0.020 0.510 0.250  0.09
29 O 0.490 0.510 0.250  0.09
30 O 0.510 0.020 0.750  0.09

Results
Formation energy (no corrections) = -2247 meV per atom
Relative energy among the computed polymorphs = 0.000 eV/atom
Magnetization = 3.834 μB/cell
Density of states at the Fermi level = 0.5074 states/eV/atom
V = 15.22 A^3/atom
ρ = 6.54 g/cm³
Space-group type = P6_3/mmc, No. 194

The following is a PBE calculation of a geometry-optimized Ba3CeRu2O9 structure, from the Alexandria database.

Unit cell a=5.903 b=5.903 c=7.306 alpha=90.00 beta=90.00 gamma=120.00
Site moments in Bohr magnetons follow the coordinates.
Sites, in units of the cell vectors:
1 Ba 0.333 0.667 0.683  0.01
2 Ba 0.000 0.000 0.000  0.01
3 Ba 0.667 0.333 0.317  0.01
4 Ce 0.000 0.000 0.500  0.03
5 Ru 0.333 0.667 0.157  1.40
6 Ru 0.667 0.333 0.843  1.40
7 O 0.825 0.175 0.681  0.05
8 O 0.825 0.649 0.681  0.05
9 O 0.351 0.175 0.681  0.05
10 O 0.649 0.825 0.319  0.05
11 O 0.175 0.351 0.319  0.05
12 O 0.175 0.825 0.319  0.05
13 O 0.500 0.000 0.000  0.21
14 O 0.000 0.500 0.000  0.21
15 O 0.500 0.500 0.000  0.21

Results
Formation energy (no corrections) = -2231 meV per atom
Relative energy among the computed polymorphs = 0.016 eV/atom
Magnetization = 4.089 μB/cell
Density of states at the Fermi level = 0.1215 states/eV/atom
V = 14.70 A^3/atom
ρ = 6.76 g/cm³
Space-group type = P-3m1, No. 164

The following is a PBE calculation of a geometry-optimized Ba2CeRu3O12 structure, from the Alexandria database.

Unit cell a=7.188 b=7.188 c=7.188 alpha=60.96 beta=60.96 gamma=60.96
Sites, in units of the cell vectors:
1 Ba 0.627 0.627 0.627
2 Ba 0.373 0.373 0.373
3 Ce 0.000 0.000 0.000
4 Ru 0.500 0.000 0.000
5 Ru 0.000 0.500 0.000
6 Ru 0.000 0.000 0.500
7 O 0.293 0.293 0.911
8 O 0.888 0.888 0.385
9 O 0.385 0.888 0.888
10 O 0.911 0.293 0.293
11 O 0.888 0.385 0.888
12 O 0.293 0.911 0.293
13 O 0.707 0.707 0.089
14 O 0.112 0.112 0.615
15 O 0.615 0.112 0.112
16 O 0.089 0.707 0.707
17 O 0.112 0.615 0.112
18 O 0.707 0.089 0.707

Results
Formation energy (no corrections) = -1696 meV per atom
Magnetization = 0.000 μB/cell
Density of states at the Fermi level = 0.5633 states/eV/atom
V = 14.91 A^3/atom
ρ = 5.63 g/cm³
Space-group type = R-3m, No. 166

The following is a PBE calculation of a geometry-optimized Ba2CeS2O2 structure, from the Alexandria database.

Unit cell a=4.499 b=4.499 c=8.856 alpha=104.71 beta=104.71 gamma=90.00
Sites, in units of the cell vectors:
1 Ba 0.361 0.361 0.723
2 Ba 0.639 0.639 0.277
3 Ce 0.000 0.000 0.000
4 S 0.169 0.169 0.337
5 S 0.831 0.831 0.663
6 O 0.000 0.500 0.000
7 O 0.500 0.000 0.000

Results
Formation energy (no corrections) = -2600 meV per atom
Magnetization = 0.000 μB/cell
V = 23.90 A^3/atom
ρ = 5.07 g/cm³
Space-group type = I4/mmm, No. 139

The following is a PBE calculation of a geometry-optimized BaCeS2O structure, from the Alexandria database.

Unit cell a=4.174 b=7.500 c=8.717 alpha=106.26 beta=90.00 gamma=90.00
Sites, in units of the cell vectors:
1 Ba 0.250 0.699 0.305
2 Ba 0.750 0.301 0.695
3 Ce 0.250 0.801 0.816
4 Ce 0.750 0.199 0.184
5 S 0.750 0.844 0.618
6 S 0.750 0.805 0.039
7 S 0.250 0.156 0.382
8 S 0.250 0.195 0.961
9 O 0.250 0.528 0.741
10 O 0.750 0.472 0.259

Results
Formation energy (no corrections) = -2368 meV per atom
Magnetization = 0.000 μB/cell
V = 26.20 A^3/atom
ρ = 4.53 g/cm³
Space-group type = P2_1/m, No. 11

The following is a PBE calculation of a geometry-optimized Ba3Ce2S2O5 structure, from the Alexandria database.

Unit cell a=4.488 b=4.488 c=13.155 alpha=99.82 beta=99.82 gamma=90.00
Sites, in units of the cell vectors:
1 Ba 0.179 0.179 0.357
2 Ba 0.821 0.821 0.643
3 Ba 0.000 0.000 0.000
4 Ce 0.414 0.414 0.827
5 Ce 0.586 0.586 0.173
6 S 0.697 0.697 0.394
7 S 0.303 0.303 0.606
8 O 0.584 0.084 0.169
9 O 0.416 0.916 0.831
10 O 0.084 0.584 0.169
11 O 0.916 0.416 0.831
12 O 0.500 0.500 0.000

Results
Formation energy (no corrections) = -2826 meV per atom
Magnetization = 0.000 μB/cell
Density of states at the Fermi level = 0.0000 states/eV/atom
V = 21.43 A^3/atom
ρ = 5.40 g/cm³
Space-group type = I4/mmm, No. 139